Entry 1:
Here is a relaxed structure of Tb2Dy3Tm3 from Alexandria via LeMat-Bulk. Energies are from PBE.

Values from the calculation:
As for the formation energy: 0.022 eV/atom. The calculation puts the density of states at the Fermi level at 11.01 states/eV/cell. The calculation puts the volume at 30.82 Å³/atom. Its final energy is -4.5385 eV/atom.

```
Tb2Dy3Tm3
1.0
-2.869 -1.374 3.825
3.367 -3.431 1.293
4.315 9.070 3.260
Dy Tm Tb
3 3 2
Cartesian
1.382 -0.747 4.003
3.431 5.012 4.374
-1.434 -0.687 1.912
1.683 -1.715 0.646
3.676 2.605 6.928
1.137 1.660 1.449
3.967 1.620 3.557
0.847 2.645 4.820
```

Entry 2:
Here is a relaxed structure of Tb7Dy4Tm2 from Alexandria via LeMat-Bulk. Energies are from PBE.

Values from the calculation:
As for the formation energy: 0.164 eV/atom. The calculation puts the density of states at the Fermi level at 16.85 states/eV/cell. The calculation puts the volume at 31.94 Å³/atom. Its final energy is -4.4333 eV/atom.

```
Tb7Dy4Tm2
1.0
-1.285 -3.389 -4.851
5.667 1.900 0.946
2.454 -10.834 6.903
Tb Dy Tm
7 4 2
Cartesian
5.528 -7.271 6.006
3.505 -9.030 3.990
1.308 -5.052 -3.008
3.331 -3.293 -0.993
0.000 0.000 0.000
6.763 -8.750 3.261
0.073 -3.573 -0.264
4.577 -5.281 2.463
6.621 -2.352 3.652
0.215 -9.971 -0.654
2.259 -7.042 0.535
1.033 -1.627 -2.920
3.349 0.137 -0.986
```

Entry 3:
Here is a relaxed structure of Tb7DyTm5 from Alexandria via LeMat-Bulk. Energies are from PBE.

Values from the calculation:
As for the formation energy: 0.254 eV/atom. The calculation puts the density of states at the Fermi level at 26.41 states/eV/cell. The calculation puts the volume at 32.40 Å³/atom. Its final energy is -4.3128 eV/atom.

```
Tb7DyTm5
1.0
-4.825 2.787 -3.543
-3.321 -5.399 -5.876
-7.806 -1.253 3.494
Tb Tm Dy
7 5 1
Cartesian
-4.672 -3.871 -2.835
-6.378 -3.096 -6.055
-6.225 -2.435 0.410
-9.316 -0.380 0.083
-3.866 -0.784 -1.504
-9.436 -4.119 -2.694
-7.498 -1.217 -3.051
-6.174 0.907 -0.296
-4.118 -0.994 -4.591
-11.840 -2.711 -4.467
-3.614 -0.572 1.584
-1.558 -2.473 -2.712
-5.070 2.420 -3.498
```

Entry 4:
Here is a relaxed structure of Tb12DyTm7 from Alexandria via LeMat-Bulk. Energies are from PBE.

Values from the calculation:
As for the formation energy: 0.323 eV/atom. The calculation puts the density of states at the Fermi level at 25.61 states/eV/cell. The calculation puts the volume at 32.70 Å³/atom. Its final energy is -4.2499 eV/atom.

```
Tb12DyTm7
1.0
6.357 0.000 1.839
-3.604 9.251 4.518
-0.850 0.000 10.875
Tm Tb Dy
7 12 1
Cartesian
4.348 1.526 9.926
-1.945 7.973 13.515
-2.445 7.725 7.306
0.924 2.804 11.537
3.849 1.278 3.716
3.179 0.000 0.920
0.980 6.447 5.695
2.776 4.233 4.072
1.485 7.313 13.601
0.463 7.300 9.196
-2.246 5.362 4.903
-0.537 4.415 7.587
1.441 1.951 8.035
4.254 0.603 6.901
2.440 4.836 9.645
-2.351 8.648 10.331
4.149 3.889 12.329
0.419 1.938 3.631
-0.873 5.018 13.159
0.000 0.000 0.000
```

Entry 5:
Here is a relaxed structure of TbDy6Tm12 from Alexandria via LeMat-Bulk. Energies are from PBE.

Values from the calculation:
As for the formation energy: 0.164 eV/atom. The calculation puts the density of states at the Fermi level at 29.90 states/eV/cell. The calculation puts the volume at 31.35 Å³/atom. Its final energy is -4.3570 eV/atom.

```
TbDy6Tm12
1.0
-5.739 2.106 -5.787
-4.598 -6.841 1.706
-4.574 4.185 5.694
Dy Tm Tb
6 12 1
Cartesian
-5.506 0.075 -3.020
-9.910 -3.341 -0.966
-10.088 2.881 -0.487
-9.405 -0.625 4.632
-4.823 -3.431 2.099
-5.001 2.791 2.578
-3.046 1.588 -0.802
-11.865 -2.138 2.414
-12.261 -0.571 -0.716
-8.551 -2.076 1.892
-8.669 1.388 1.983
-6.242 -1.938 -0.371
-6.360 1.526 -0.279
-5.976 -0.274 2.659
-12.017 1.376 2.210
-2.895 -1.926 -0.598
-8.935 -0.277 -1.047
-2.650 0.021 2.329
0.000 0.000 0.000
```

Entry 6:
Here is a relaxed structure of Tb5Dy12Tm2 from Alexandria via LeMat-Bulk. Energies are from PBE.

Values from the calculation:
As for the formation energy: 0.112 eV/atom. The calculation puts the density of states at the Fermi level at 30.07 states/eV/cell. The calculation puts the volume at 31.76 Å³/atom. Its final energy is -4.4833 eV/atom.

```
Tb5Dy12Tm2
1.0
-2.449 -1.614 6.055
9.667 -1.130 -1.907
-1.556 10.654 2.455
Dy Tb Tm
12 5 2
Cartesian
1.269 1.667 2.206
4.581 1.628 2.644
1.081 6.282 3.959
-0.911 8.938 3.138
0.619 0.383 5.375
6.433 2.024 -0.145
-1.003 3.213 4.423
5.043 7.527 1.229
6.665 4.697 2.180
-0.771 5.886 6.748
6.573 -1.028 3.465
4.393 6.243 4.397
2.642 3.353 4.939
3.020 4.557 1.665
-0.778 5.327 1.227
2.786 -1.616 3.532
2.876 9.525 3.071
7.985 -0.669 0.390
-2.323 8.578 6.213
```

M_tot across the listed records, respectively: 0.0; 0.0; 0.0; 0.0; 0.0; 0.0 μB per formula unit.